The following is a PBE calculation of a relaxed structure of Y3ZnN, from the Alexandria database.

Properties
Density (g/cm³): 5.25
Fermi-level density of states (states/eV/f.u.): 2.44
Formation energy from raw total energies (eV per atom): -0.80

Unit cell a=4.7848 b=4.7848 c=4.7848 alpha=90.00 beta=90.00 gamma=90.00
With the nearest neighbours (Å) after each atom.
Atoms (fractional coordinates):
1 Y 0.0000 0.0000 0.5000  2 N 2.39
2 Y 0.0000 0.5000 0.0000  2 N 2.39
3 N 0.0000 0.0000 0.0000  6 Y 2.39
4 Zn 0.5000 0.5000 0.5000  12 Y 3.38
5 Y 0.5000 0.0000 0.0000  2 N 2.39

The following is a PBE calculation of a relaxed structure of CuAs2Cl, from the Alexandria database.

Properties
Density (g/cm³): 5.52
Fermi-level density of states (states/eV/f.u.): 1.57
Offset from the most stable computed form (eV/f.u.): 1.48
Formation energy from raw total energies (eV per atom): 0.20

Unit cell a=4.6090 b=4.6046 c=4.6013 alpha=68.21 beta=75.13 gamma=111.85
With the nearest neighbours (Å) after each atom.
Atoms (fractional coordinates):
1 As 0.5000 0.0000 0.5000  2 Cl 2.58, 2 Cu 2.58, 2 As 2.81
2 As 0.0000 0.0000 0.0000  2 Cu 2.58, 2 Cl 2.58, 2 As 2.81
3 Cu 0.5000 0.5000 0.0000  4 As 2.58, 2 Cl 2.81
4 Cl 0.0000 0.5000 0.5000  4 As 2.58, 2 Cu 2.81

The following is a PBE calculation of a relaxed structure of Ta5Mo4W4, from the Alexandria database.

Properties
Calculated formation energy (eV/atom): 0.19
Density (g/cm³): 15.13
Fermi-level density of states (states/eV/f.u.): 9.28

Unit cell a=4.6260 b=7.3060 c=7.3060 alpha=84.25 beta=71.54 gamma=71.54
With the nearest neighbours (Å) after each atom.
Atoms (fractional coordinates):
1 Ta 0.4265 0.2605 0.8865  1 Mo 2.55, 1 W 2.73, 2 Ta 2.78
2 Mo 0.7629 0.3712 0.1031  2 Ta 2.55-2.67, 3 W 2.76-2.83
3 W 0.9014 0.4944 0.7029  1 Ta 2.73, 4 Mo 2.76-2.90, 5 W 2.81-3.05
4 Mo 0.2371 0.6288 0.8969  2 Ta 2.55-2.67, 3 W 2.76-2.83
5 Mo 0.8660 0.8969 0.3712  2 Ta 2.55-2.67, 3 W 2.76-2.83
6 W 0.6042 0.2971 0.4944  1 Ta 2.73, 4 Mo 2.76-2.90, 5 W 2.81-3.05
7 Ta 0.0000 0.0000 0.0000  4 Mo 2.67
8 Ta 0.5735 0.7395 0.1135  1 Mo 2.55, 1 W 2.73, 2 Ta 2.78
9 Ta 0.3130 0.1135 0.2605  1 Mo 2.55, 1 W 2.73, 2 Ta 2.78
10 Ta 0.6870 0.8865 0.7395  1 Mo 2.55, 1 W 2.73, 2 Ta 2.78
11 W 0.0986 0.5056 0.2971  1 Ta 2.73, 4 Mo 2.76-2.90, 5 W 2.81-3.05
12 Mo 0.1340 0.1031 0.6288  2 Ta 2.55-2.67, 3 W 2.76-2.83
13 W 0.3958 0.7029 0.5056  1 Ta 2.73, 4 Mo 2.76-2.90, 5 W 2.81-3.05

The following is a PBE calculation of a relaxed structure of NdSm2Te4, from the Alexandria database.

Properties
Density (g/cm³): 6.15
Fermi-level density of states (states/eV/f.u.): 3.16
Offset from the most stable computed form (eV/f.u.): 0.00
Formation energy from raw total energies (eV per atom): -1.41

Unit cell a=4.4528 b=7.7405 c=8.7510 alpha=116.79 beta=104.74 gamma=90.00
With the nearest neighbours (Å) after each atom.
Atoms (fractional coordinates):
1 Sm 0.7426 0.7540 0.4851  6 Te 3.11-3.21
2 Nd 0.0000 0.0000 0.0000  6 Te 3.17-3.21
3 Sm 0.2574 0.2460 0.5149  6 Te 3.11-3.21
4 Te 0.1236 0.7940 0.2471  3 Sm 3.11-3.16, 1 Nd 3.17
5 Te 0.6316 0.2897 0.2631  3 Sm 3.19-3.21, 2 Nd 3.21
6 Te 0.3684 0.7103 0.7369  3 Sm 3.19-3.21, 2 Nd 3.21
7 Te 0.8764 0.2060 0.7529  3 Sm 3.11-3.16, 1 Nd 3.17

The following is a PBE calculation of a relaxed structure of HgAsOs2, from the Alexandria database.

Properties
Calculated formation energy (eV/atom): 0.95
Density (g/cm³): 15.39
Fermi-level density of states (states/eV/f.u.): 5.66
Offset from the most stable computed form (eV/f.u.): 2.20

Unit cell a=7.2616 b=7.2616 c=5.7938 alpha=51.20 beta=51.20 gamma=90.00
With the nearest neighbours (Å) after each atom.
Atoms (fractional coordinates):
1 Os 0.8750 0.8181 0.7500  2 As 2.39
2 Hg 0.0000 0.0000 0.0000  2 As 2.68, 4 Os 2.95
3 Os 0.1819 0.6250 0.2500  2 As 2.39
4 Hg 0.7500 0.2500 0.5000  2 As 2.68, 4 Os 2.95
5 As 0.2500 0.7500 0.5000  4 Os 2.39
6 Os 0.3750 0.4319 0.7500  2 As 2.39
7 As 0.5000 0.5000 0.0000  4 Os 2.39
8 Os 0.5681 0.1250 0.2500  2 As 2.39

The following is a PBE calculation of a relaxed structure of Li2MgPd, from the Alexandria database.

Properties
Calculated formation energy (eV/atom): -0.28
Density (g/cm³): 3.73
Fermi-level density of states (states/eV/f.u.): 1.22

Unit cell a=3.2794 b=3.2794 c=5.9815 alpha=90.00 beta=90.00 gamma=90.00
With the nearest neighbours (Å) after each atom.
Atoms (fractional coordinates):
1 Pd 0.5000 0.5000 0.0000  8 Li 2.63
2 Mg 0.5000 0.5000 0.5000  8 Li 2.90, 2 Pd 2.99
3 Li 0.0000 0.0000 0.7912  1 Li 2.50, 4 Pd 2.63
4 Li 0.0000 0.0000 0.2088  1 Li 2.50, 4 Pd 2.63

no.,volume (Å³ per cell),final energy (eV per atom)
1,110,-6.6014
2,75,-3.6128
3,222,-11.6855
4,258,-5.2379
5,142,-5.9073
6,64,-2.9322